VASP calculation (PBE-GGA) on a relaxed structure of Li3Ca4Tl2.

Calculated values
Total moment, Bohr magnetons per cell: 0.00
Space-group type: No. 12
D(E_F), states/eV per atom: 0.6093
Energy of formation from the pure elements, eV per atom: -0.22

```
9
Lattice="4.7224 -2.7265 0.0000 4.7224 2.7265 0.0000 -0.0069 0.0000 10.0558" Properties=species:S:1:pos:R:3 pbc="T T T"
Li 0.0000 0.0000 0.0000
Li 3.1426 0.0000 4.9091
Li 6.2952 0.0000 5.1467
Ca 0.0012 0.0000 3.1992
Ca 9.4367 0.0000 6.8566
Ca 3.1490 0.0000 1.1297
Ca 6.2888 0.0000 8.9261
Tl 3.1403 0.0000 7.8693
Tl 6.2975 0.0000 2.1865
```